Entry 1:
DFT (PBE-GGA) results for a relaxed structure of Ca2Bi2S.

abc: 7.6337 7.6337 5.2116
angles: 90.00 90.00 90.00
Last column: nearest neighbours and their distance in Å.
Element x y z (fractional)
S 0.0000 0.0000 0.0000  4 Ca 2.81
S 0.5000 0.5000 0.0000  4 Ca 2.81
Ca 0.3217 0.8217 0.0000  2 S 2.81
Ca 0.8217 0.6783 0.0000  2 S 2.81
Ca 0.6783 0.1783 0.0000  2 S 2.81
Ca 0.1783 0.3217 0.0000  2 S 2.81
Bi 0.1354 0.6354 0.5000  1 Bi 2.92
Bi 0.6354 0.8646 0.5000  1 Bi 2.92
Bi 0.8646 0.3646 0.5000  1 Bi 2.92
Bi 0.3646 0.1354 0.5000  1 Bi 2.92

Properties
- Space-group type: P4/mbm
- Raw total energy: -40.1 eV for the cell shown
- Mass density: 5.80 g/cm3
- Total magnetization: 0.00 μB/f.u.

=====

Entry 2:
DFT (PBE-GGA) results for a relaxed structure of CaBiS3.

abc: 4.2192 7.3670 15.8666
angles: 90.00 90.00 90.00
Last column: nearest neighbours and their distance in Å.
Element x y z (fractional)
Ca 0.2500 0.9035 0.2929  7 S 2.91-3.06
Ca 0.7500 0.0965 0.7071  7 S 2.91-3.06
Ca 0.7500 0.5965 0.7929  7 S 2.91-3.06
Ca 0.2500 0.4035 0.2071  7 S 2.91-3.06
Bi 0.2500 0.6785 0.5712  5 S 2.64-2.94
Bi 0.7500 0.3215 0.4288  5 S 2.64-2.94
Bi 0.7500 0.8215 0.0712  5 S 2.64-2.94
Bi 0.2500 0.1785 0.9288  5 S 2.64-2.94
S 0.7500 0.1758 0.2767  1 Bi 2.64, 4 Ca 2.91-2.92
S 0.2500 0.5590 0.0280  2 S 2.45
S 0.2500 0.0444 0.1115  3 Bi 2.75-3.06, 2 Ca 3.05-3.06
S 0.2500 0.5444 0.3885  3 Bi 2.75-3.06, 2 Ca 3.05-3.06
S 0.2500 0.0590 0.4720  2 S 2.45
S 0.7500 0.4556 0.6115  3 Bi 2.75-3.06, 2 Ca 3.05-3.06
S 0.2500 0.3242 0.7767  1 Bi 2.64, 4 Ca 2.91-2.92
S 0.7500 0.9556 0.8885  3 Bi 2.75-3.06, 2 Ca 3.05-3.06
S 0.7500 0.4410 0.9720  2 S 2.45
S 0.7500 0.6758 0.2233  1 Bi 2.64, 4 Ca 2.91-2.92
S 0.7500 0.9410 0.5280  2 S 2.45
S 0.2500 0.8242 0.7233  1 Bi 2.64, 4 Ca 2.91-2.92

Properties
- Space-group type: Pnma
- Distance to the lowest polymorph of the same formula: 0.000 eV/atom
- Raw total energy: -91.0 eV for the cell shown
- Mass density: 4.65 g/cm3
- Total magnetization: 0.00 μB/f.u.